{
  "formula": "HoTh2In",
  "functional": "PBE",
  "state": "relaxed",
  "lattice_angstrom": [[0.000, 3.917, 3.917], [3.917, 0.000, 3.917], [3.917, 3.917, 0.000]],
  "species": ["Ho", "Th", "Th", "In"],
  "fractional_positions": [[0.000, 0.000, 0.000], [0.250, 0.250, 0.250], [0.750, 0.750, 0.750], [0.500, 0.500, 0.500]],
  "magmom_total_mub_per_fu": 0.0,
  "de_polymorph_kj_per_mol_atoms": 19.85,
  "sg": "Fm-3m (225)",
  "mass_density_g_cm3": 10.273,
  "energy_ev_per_atom": -5.522,
  "e_form_ev_per_atom": 0.0172
}